Here is a relaxed structure of MgCdCuB from OQMD via LeMat-Bulk. Energies are from GGA-PBE.

The space group is F-43m (No. 216) and the conventional cell measures 6.1674, 6.1674 and 6.1674 Å, with angles of 90.00, 90.00 and 90.00 degrees. The inequivalent atoms are Mg at (0.0000, 0.0000, 0.0000), Cd at (0.2500, 0.2500, 0.2500), Cu at (0.0000, 0.0000, 0.5000) and B at (0.2500, 0.2500, 0.7500).

As for the calculated total energy: -2.54 eV per atom.

---

Here is a relaxed structure of CdCuBMo from OQMD via LeMat-Bulk. Energies are from GGA-PBE.

The space group is F-43m (No. 216) and the conventional cell measures 6.0450, 6.0450 and 6.0450 Å, with angles of 90.00, 90.00 and 90.00 degrees. The inequivalent atoms are Cd at (0.0000, 0.0000, 0.0000), Cu at (0.2500, 0.2500, 0.7500), B at (0.0000, 0.0000, 0.5000) and Mo at (0.2500, 0.2500, 0.2500).

As for the calculated total energy: -4.55 eV per atom. The calculation puts the total moment at 4.44 Bohr magnetons per cell.

---

Here is a relaxed structure of CdCuBOs from OQMD via LeMat-Bulk. Energies are from GGA-PBE.

The space group is F-43m (No. 216) and the conventional cell measures 5.9917, 5.9917 and 5.9917 Å, with angles of 90.00, 90.00 and 90.00 degrees. The inequivalent atoms are Cd at (0.0000, 0.0000, 0.0000), Cu at (0.2500, 0.2500, 0.7500), B at (0.0000, 0.0000, 0.5000) and Os at (0.2500, 0.2500, 0.2500).

As for the calculated total energy: -4.61 eV per atom. The calculation puts the total moment at 0.00 Bohr magnetons per cell.

---

Here is a relaxed structure of CdCuBPd from OQMD via LeMat-Bulk. Energies are from GGA-PBE.

The space group is F-43m (No. 216) and the conventional cell measures 6.0511, 6.0511 and 6.0511 Å, with angles of 90.00, 90.00 and 90.00 degrees. The inequivalent atoms are Cd at (0.0000, 0.0000, 0.0000), Cu at (0.2500, 0.2500, 0.7500), B at (0.0000, 0.0000, 0.5000) and Pd at (0.2500, 0.2500, 0.2500).

As for the calculated total energy: -3.55 eV per atom.

---

Here is a relaxed structure of CdCuBPt from OQMD via LeMat-Bulk. Energies are from GGA-PBE.

The space group is F-43m (No. 216) and the conventional cell measures 6.0710, 6.0710 and 6.0710 Å, with angles of 90.00, 90.00 and 90.00 degrees. The inequivalent atoms are Cd at (0.0000, 0.0000, 0.0000), Cu at (0.2500, 0.2500, 0.7500), B at (0.0000, 0.0000, 0.5000) and Pt at (0.2500, 0.2500, 0.2500).

As for the calculated total energy: -3.72 eV per atom. The calculation puts the total moment at 0.01 Bohr magnetons per cell.

---

Here is a relaxed structure of CdCuReB from OQMD via LeMat-Bulk. Energies are from GGA-PBE.

The space group is F-43m (No. 216) and the conventional cell measures 5.9960, 5.9960 and 5.9960 Å, with angles of 90.00, 90.00 and 90.00 degrees. The inequivalent atoms are Cd at (0.0000, 0.0000, 0.0000), Cu at (0.2500, 0.2500, 0.7500), Re at (0.2500, 0.2500, 0.2500) and B at (0.0000, 0.0000, 0.5000).

As for the calculated total energy: -4.79 eV per atom. The calculation puts the total moment at 0.12 Bohr magnetons per cell.

---

Here is a relaxed structure of ScCdCuB from OQMD via LeMat-Bulk. Energies are from GGA-PBE.

The space group is F-43m (No. 216) and the conventional cell measures 6.2196, 6.2196 and 6.2196 Å, with angles of 90.00, 90.00 and 90.00 degrees. The inequivalent atoms are Sc at (0.0000, 0.0000, 0.0000), Cd at (0.2500, 0.2500, 0.2500), Cu at (0.0000, 0.0000, 0.5000) and B at (0.2500, 0.2500, 0.7500).

As for the calculated total energy: -4.05 eV per atom. The calculation puts the total moment at 0.00 Bohr magnetons per cell.

---

Here is a relaxed structure of ScCdCuB from OQMD via LeMat-Bulk. Energies are from GGA-PBE.

The space group is F-43m (No. 216) and the conventional cell measures 6.2068, 6.2068 and 6.2068 Å, with angles of 90.00, 90.00 and 90.00 degrees. The inequivalent atoms are Sc at (0.0000, 0.0000, 0.0000), Cd at (0.2500, 0.2500, 0.2500), Cu at (0.2500, 0.2500, 0.7500) and B at (0.0000, 0.0000, 0.5000).

As for the calculated total energy: -3.89 eV per atom. The calculation puts the total moment at 0.00 Bohr magnetons per cell.

---

Q: calculated total energy of number 8 (ScCdCuB)?
A: -3.89 eV per atom

---

Q: What is the calculated total energy in the seventh record?
A: -4.05 eV per atom

---

Q: calculated total energy of number 3 (CdCuBOs)?
A: -4.61 eV per atom

---

Q: What is the formula in the fourth record?
A: CdCuBPd